1.
VASP calculation (meta-GGA SCAN) on a PBEsol-optimized structure of BaSrNdTlCu2O7.

Results
The formation energy without anion corrections comes out at -2053.8 meV/atom. As for the space-group type: Pm, No. 6.

a = 3.836 Å, b = 3.857 Å, c = 12.301 Å
α = 90.18°, β = 90.00°, γ = 90.00°
Fractional positions:
Ba  0.500  0.514  0.796
Sr  0.500  0.513  0.209
Nd  0.500  0.512  0.496
Tl  0.000  0.071  0.007
Cu  0.000  0.013  0.633
Cu  0.000  0.010  0.354
O  0.500  0.014  0.618
O  0.000  0.512  0.619
O  0.500  0.011  0.371
O  0.000  0.509  0.370
O  0.000  0.003  0.837
O  0.000  0.982  0.177
O  0.500  0.419  0.012

2.
VASP calculation (meta-GGA SCAN) on a PBEsol-optimized structure of BaCu2Ni.

Results
As for the space-group type: F-43m, No. 216. As for the energy of formation from the pure elements: 0.7287 eV/atom.

a = 4.733 Å, b = 4.733 Å, c = 4.733 Å
α = 60.00°, β = 60.00°, γ = 60.00°
Fractional positions:
Ba  0.500  0.500  0.500
Cu  0.000  0.000  0.000
Cu  0.750  0.750  0.750
Ni  0.250  0.250  0.250

3.
VASP calculation (meta-GGA SCAN) on a PBEsol-optimized structure of BaCu2Ni.

Results
As for the space-group type: I-4m2, No. 119. As for the energy of formation from the pure elements: 0.6729 eV/atom.

a = 4.170 Å, b = 4.170 Å, c = 5.079 Å
α = 114.24°, β = 114.24°, γ = 90.00°
Fractional positions:
Ba  0.250  0.750  0.500
Cu  0.000  0.000  0.000
Cu  0.750  0.250  0.500
Ni  0.500  0.500  0.000

4.
VASP calculation (meta-GGA SCAN) on a PBEsol-optimized structure of BaCuNi2.

Results
As for the space-group type: Pm, No. 6. As for the energy of formation from the pure elements: 0.3032 eV/atom.

a = 4.006 Å, b = 4.478 Å, c = 4.773 Å
α = 98.89°, β = 90.00°, γ = 90.00°
Fractional positions:
Ba  0.000  0.525  0.498
Cu  0.500  0.239  0.943
Ni  0.000  0.986  0.019
Ni  0.500  0.750  0.040

5.
VASP calculation (meta-GGA SCAN) on a PBEsol-optimized structure of BaCu2Ni.

Results
As for the space-group type: P4/mmm, No. 123. As for the energy of formation from the pure elements: 0.4079 eV/atom.

a = 3.138 Å, b = 3.138 Å, c = 7.044 Å
α = 90.00°, β = 90.00°, γ = 90.00°
Each line ends with the local moment (μB).
Fractional positions:
Ba  0.500  0.500  0.500  0.02
Cu  0.000  0.000  0.834  0.01
Cu  0.000  0.000  0.166  0.01
Ni  0.500  0.500  0.000  0.61

6.
VASP calculation (meta-GGA SCAN) on a PBEsol-optimized structure of BaCu2Ni.

Results
As for the space-group type: R3m, No. 160. As for the energy of formation from the pure elements: 0.0157 eV/atom.

a = 4.157 Å, b = 4.157 Å, c = 5.850 Å
α = 69.19°, β = 69.19°, γ = 60.00°
Fractional positions:
Ni  0.434  0.434  0.697
Ba  0.250  0.250  0.249
Cu  0.065  0.065  0.805
Cu  0.753  0.753  0.741

7.
VASP calculation (meta-GGA SCAN) on a PBEsol-optimized structure of BaCu2Ni.

Results
As for the space-group type: Pmmm, No. 47. As for the energy of formation from the pure elements: 0.7382 eV/atom.

a = 3.964 Å, b = 4.021 Å, c = 4.507 Å
α = 90.00°, β = 90.00°, γ = 90.00°
Fractional positions:
Ba  0.000  0.500  0.500
Cu  0.000  0.000  0.000
Cu  0.500  0.500  0.000
Ni  0.500  0.000  0.500

8.
VASP calculation (meta-GGA SCAN) on a PBEsol-optimized structure of BaCuNi2.

Results
As for the space-group type: F-43m, No. 216. As for the energy of formation from the pure elements: 0.8395 eV/atom.

a = 4.627 Å, b = 4.627 Å, c = 4.627 Å
α = 60.00°, β = 60.00°, γ = 60.00°
Fractional positions:
Ba  0.500  0.500  0.500
Cu  0.250  0.250  0.250
Ni  0.000  0.000  0.000
Ni  0.750  0.750  0.750

9.
VASP calculation (meta-GGA SCAN) on a PBEsol-optimized structure of Ba2CuNi.

Results
As for the space-group type: R-3m, No. 166. As for the energy of formation from the pure elements: 0.3024 eV/atom.

a = 4.422 Å, b = 4.422 Å, c = 7.817 Å
α = 73.57°, β = 73.57°, γ = 60.00°
Fractional positions:
Ba  0.756  0.756  0.732
Ba  0.244  0.244  0.268
Cu  0.000  0.000  0.000
Ni  0.500  0.500  0.500

10.
VASP calculation (meta-GGA SCAN) on a PBEsol-optimized structure of BaCu2Ni.

Results
As for the space-group type: P4mm, No. 99. As for the energy of formation from the pure elements: 0.4108 eV/atom.

a = 3.176 Å, b = 3.176 Å, c = 6.902 Å
α = 90.00°, β = 90.00°, γ = 89.98°
Fractional positions:
Ba  0.500  0.500  0.259
Cu  0.000  0.000  0.917
Cu  0.500  0.500  0.744
Ni  0.000  0.000  0.580

11.
VASP calculation (meta-GGA SCAN) on a PBEsol-optimized structure of BaCuNi2.

Results
As for the space-group type: Cm, No. 8. As for the energy of formation from the pure elements: 0.0419 eV/atom.

a = 4.103 Å, b = 4.103 Å, c = 5.807 Å
α = 69.48°, β = 69.48°, γ = 59.98°
Fractional positions:
Ni  0.997  0.997  0.010
Ni  0.317  0.317  0.049
Ba  0.501  0.501  0.498
Cu  0.686  0.686  0.942

12.
VASP calculation (meta-GGA SCAN) on a PBEsol-optimized structure of Ba2CuNi.

Results
As for the space-group type: Imm2, No. 44. As for the energy of formation from the pure elements: 0.1180 eV/atom.

a = 4.247 Å, b = 4.266 Å, c = 8.045 Å
α = 105.38°, β = 105.31°, γ = 90.00°
Fractional positions:
Ni  0.654  0.154  0.308
Ba  0.007  0.007  0.015
Ba  0.247  0.747  0.494
Cu  0.591  0.591  0.183

13.
VASP calculation (meta-GGA SCAN) on a PBEsol-optimized structure of Ba2CuNi.

Results
As for the space-group type: Amm2, No. 38. As for the energy of formation from the pure elements: 0.0962 eV/atom.

a = 4.359 Å, b = 4.449 Å, c = 6.391 Å
α = 110.37°, β = 90.00°, γ = 90.00°
Fractional positions:
Ni  0.500  0.668  0.336
Ba  0.500  0.988  0.977
Ba  0.000  0.265  0.529
Cu  0.000  0.579  0.158

14.
VASP calculation (meta-GGA SCAN) on a PBEsol-optimized structure of BaCuNi2.

Results
As for the space-group type: R-3m, No. 166. As for the energy of formation from the pure elements: 0.0329 eV/atom.

a = 4.125 Å, b = 4.125 Å, c = 5.776 Å
α = 69.08°, β = 69.08°, γ = 60.00°
Fractional positions:
Ni  0.319  0.319  0.042
Ni  0.681  0.681  0.958
Ba  0.500  0.500  0.500
Cu  0.000  0.000  0.000

15.
VASP calculation (meta-GGA SCAN) on a PBEsol-optimized structure of Ba2CuNi.

Results
As for the space-group type: P4mm, No. 99. As for the energy of formation from the pure elements: 0.3248 eV/atom.

a = 4.460 Å, b = 4.460 Å, c = 6.277 Å
α = 90.00°, β = 90.00°, γ = 90.00°
Fractional positions:
Ba  0.000  0.000  0.876
Ba  0.500  0.500  0.374
Cu  0.000  0.000  0.377
Ni  0.500  0.500  0.873

16.
VASP calculation (meta-GGA SCAN) on a PBEsol-optimized structure of BaYCuNiO5.

Results
The formation energy without anion corrections comes out at -2260.2 meV/atom. As for the space-group type: P4mm, No. 99.

a = 3.823 Å, b = 3.823 Å, c = 7.371 Å
α = 90.00°, β = 90.00°, γ = 90.00°
Each line ends with the local moment (μB).
Fractional positions:
Ba  0.500  0.500  0.968  0.00
Y  0.500  0.500  0.463  0.01
Cu  0.000  0.000  0.237  -0.10
Ni  0.000  0.000  0.701  1.11
O  0.500  0.000  0.656  -0.01
O  0.000  0.500  0.656  -0.01
O  0.500  0.000  0.276  -0.02
O  0.000  0.500  0.276  -0.02
O  0.000  0.000  0.956  0.00

17.
VASP calculation (meta-GGA SCAN) on a PBEsol-optimized structure of Ba8Cu8O19.

Results
The formation energy without anion corrections comes out at -1760.8 meV/atom. As for the space-group type: P1, No. 1.

a = 5.657 Å, b = 9.204 Å, c = 9.744 Å
α = 91.38°, β = 90.58°, γ = 89.94°
Each line ends with the local moment (μB).
Fractional positions:
Ba  0.990  0.747  0.009  0.00
Ba  0.987  0.252  0.006  -0.01
Ba  0.504  0.499  0.835  0.00
Ba  0.992  0.988  0.674  0.00
Ba  0.490  0.748  0.507  0.00
Ba  0.485  0.248  0.510  -0.01
Ba  0.004  0.517  0.328  0.00
Ba  0.492  0.002  0.165  0.00
Cu  0.496  0.135  0.824  -0.04
Cu  0.498  0.859  0.824  -0.05
Cu  0.011  0.632  0.658  -0.10
Cu  0.012  0.362  0.664  -0.06
Cu  0.996  0.874  0.325  -0.09
Cu  0.000  0.151  0.311  0.48
Cu  0.509  0.367  0.168  -0.23
Cu  0.511  0.642  0.160  -0.09
O  0.491  0.766  0.986  0.01
O  0.488  0.236  0.987  0.00
O  0.696  0.001  0.905  -0.03
O  0.233  0.744  0.763  0.00
O  0.775  0.258  0.737  0.01
O  0.230  0.245  0.757  0.01
O  0.771  0.729  0.745  0.01
O  0.485  0.995  0.673  -0.01
O  0.240  0.489  0.589  -0.02
O  0.794  0.489  0.590  -0.04
O  0.992  0.773  0.486  -0.01
O  0.182  0.023  0.413  0.08
O  0.732  0.756  0.265  0.00
O  0.265  0.273  0.257  0.06
O  0.274  0.743  0.247  0.01
O  0.733  0.264  0.278  0.06
O  0.984  0.992  0.165  0.14
O  0.290  0.502  0.097  -0.06
O  0.742  0.502  0.092  -0.06

18.
VASP calculation (meta-GGA SCAN) on a PBEsol-optimized structure of Ba2Cu3O6.

Results
The formation energy without anion corrections comes out at -1615.4 meV/atom. For the excess energy over the best structure of this formula in the dataset, the calculation gives 0.00 eV per formula unit. As for the space-group type: P2/m, No. 10.

a = 7.393 Å, b = 8.201 Å, c = 12.580 Å
α = 116.28°, β = 90.00°, γ = 90.00°
Each line ends with the local moment (μB).
Fractional positions:
Ba  0.500  0.540  0.750  0.00
Ba  0.500  0.897  0.248  0.00
Ba  0.000  0.205  0.251  0.00
Ba  0.000  0.765  0.249  0.00
Ba  0.000  0.795  0.749  0.00
Ba  0.500  0.103  0.752  0.00
Ba  0.000  0.235  0.751  0.00
Ba  0.500  0.460  0.250  0.00
Cu  0.750  0.332  0.500  0.17
Cu  0.254  0.335  0.001  -0.22
Cu  0.750  0.668  0.500  0.17
Cu  0.746  0.665  0.999  -0.22
Cu  0.250  0.668  0.500  0.17
Cu  0.757  0.000  0.000  -0.20
Cu  0.746  0.335  0.001  -0.22
Cu  0.243  0.000  0.000  -0.20
Cu  0.250  0.332  0.500  0.17
Cu  0.254  0.665  0.999  -0.22
Cu  0.249  0.000  0.500  0.29
Cu  0.751  0.000  0.500  0.29
O  0.232  0.907  0.111  -0.04
O  0.246  0.241  0.110  -0.04
O  0.749  0.426  0.391  0.02
O  0.235  0.090  0.388  0.04
O  0.251  0.574  0.609  0.02
O  0.246  0.759  0.890  -0.04
O  0.754  0.241  0.110  -0.04
O  0.768  0.093  0.889  -0.04
O  0.727  0.578  0.112  -0.04
O  0.768  0.907  0.111  -0.04
O  0.736  0.242  0.612  0.04
O  0.264  0.242  0.612  0.04
O  0.232  0.093  0.889  -0.04
O  0.736  0.758  0.388  0.04
O  0.273  0.578  0.112  -0.04
O  0.235  0.910  0.612  0.04
O  0.727  0.422  0.888  -0.04
O  0.273  0.422  0.888  -0.04
O  0.765  0.910  0.612  0.04
O  0.754  0.759  0.890  -0.04
O  0.264  0.758  0.388  0.04
O  0.251  0.426  0.391  0.02
O  0.765  0.090  0.388  0.04
O  0.749  0.574  0.609  0.02

19.
VASP calculation (meta-GGA SCAN) on a PBEsol-optimized structure of BaCuO2.

Results
The formation energy without anion corrections comes out at -1777.0 meV/atom. As for the space-group type: P4/mmm, No. 123.

a = 3.822 Å, b = 3.949 Å, c = 3.949 Å
α = 90.00°, β = 90.00°, γ = 90.00°
Fractional positions:
Cu  0.500  0.500  0.500
Ba  0.000  0.000  0.000
O  0.500  0.000  0.500
O  0.500  0.500  0.000

20.
VASP calculation (meta-GGA SCAN) on a PBEsol-optimized structure of BaCu2O2.

Results
The formation energy without anion corrections comes out at -1478.7 meV/atom. As for the space-group type: I4_1/amd, No. 141.

a = 5.678 Å, b = 6.418 Å, c = 5.678 Å
α = 63.75°, β = 90.00°, γ = 116.25°
Fractional positions:
Ba  0.000  0.000  0.000
Ba  0.750  0.500  0.750
Cu  0.375  0.750  0.875
Cu  0.875  0.250  0.375
Cu  0.375  0.750  0.375
Cu  0.375  0.250  0.375
O  0.739  0.477  0.261
O  0.489  0.977  0.011
O  0.011  0.023  0.489
O  0.261  0.523  0.739